[1]
Cr2RePt: relaxed, GGA-PBE.

a = 2.686 Å, b = 3.730 Å, c = 5.452 Å
α = 90.00°, β = 90.00°, γ = 90.00°
Fractional coordinates of all 4 atoms:
Cr (0.000, 0.000, 0.008)
Cr (0.500, 0.500, 0.220)
Pt (0.000, 0.000, 0.490)
Re (0.500, 0.500, 0.781)

Output
The total energy is -37.66 eV/f.u. The density of states at the Fermi level comes out at 0.94 states/eV per atom. The value obtained for the total magnetic moment is 0.00 Bohr magnetons per cell. Its space group is Pmm2.

[2]
Cr2RePt: relaxed, GGA-PBE.

a = 4.650 Å, b = 4.650 Å, c = 4.646 Å
α = 80.58°, β = 80.58°, γ = 33.27°
Fractional coordinates of all 4 atoms:
Cr (0.004, 0.004, 0.998)
Cr (0.748, 0.748, 0.753)
Pt (0.498, 0.498, 0.512)
Re (0.251, 0.251, 0.237)

Output
The total energy is -37.55 eV/f.u. The density of states at the Fermi level comes out at 1.00 states/eV per atom. The value obtained for the total magnetic moment is 0.01 Bohr magnetons per cell. Its space group is Cm.

[3]
CrRePt2: relaxed, GGA-PBE.

a = 3.713 Å, b = 3.713 Å, c = 9.461 Å
α = 78.68°, β = 78.68°, γ = 90.00°
Fractional coordinates of all 8 atoms:
Re (0.000, 0.000, 0.000)
Re (0.750, 0.250, 0.500)
Pt (0.621, 0.125, 0.250)
Pt (0.129, 0.625, 0.250)
Pt (0.375, 0.379, 0.750)
Pt (0.875, 0.871, 0.750)
Cr (0.500, 0.500, 0.000)
Cr (0.250, 0.750, 0.500)

Output
The energy above the lowest structure with this stoichiometry is 1.98 eV per formula unit. The density of states at the Fermi level comes out at 1.11 states/eV per atom. The value obtained for the total magnetic moment is 0.00 Bohr magnetons per cell. Its space group is I-42d.

[4]
CrRePt2: relaxed, GGA-PBE.

a = 4.380 Å, b = 4.380 Å, c = 4.380 Å
α = 60.00°, β = 60.00°, γ = 60.00°
Fractional coordinates of all 4 atoms:
Cr (0.500, 0.500, 0.500)
Pt (0.000, 0.000, 0.000)
Pt (0.250, 0.250, 0.250)
Re (0.750, 0.750, 0.750)

Output
The energy above the lowest structure with this stoichiometry is 1.18 eV per formula unit. The density of states at the Fermi level comes out at 1.27 states/eV per atom. The value obtained for the total magnetic moment is 1.23 Bohr magnetons per cell. Its space group is F-43m.

[5]
CrRePt2: relaxed, GGA-PBE.

a = 2.688 Å, b = 3.882 Å, c = 5.561 Å
α = 90.00°, β = 90.00°, γ = 90.00°
Fractional coordinates of all 4 atoms:
Cr (0.500, 0.500, 0.747)
Pt (0.000, 0.000, 0.985)
Pt (0.500, 0.500, 0.260)
Re (0.000, 0.000, 0.508)

Output
The energy above the lowest structure with this stoichiometry is 0.12 eV per formula unit. The density of states at the Fermi level comes out at 0.96 states/eV per atom. The value obtained for the total magnetic moment is 0.57 Bohr magnetons per cell. Its space group is Pmm2.

[6]
CrRe2Pt: relaxed, GGA-PBE.

a = 4.730 Å, b = 4.730 Å, c = 4.762 Å
α = 80.43°, β = 80.43°, γ = 33.41°
Fractional coordinates of all 4 atoms:
Cr (0.496, 0.496, 0.504)
Pt (0.249, 0.249, 0.257)
Re (0.001, 0.001, 0.991)
Re (0.754, 0.754, 0.748)

Output
The energy above the lowest structure with this stoichiometry is 0.35 eV per formula unit. The density of states at the Fermi level comes out at 0.92 states/eV per atom. The value obtained for the total magnetic moment is 1.12 Bohr magnetons per cell. Its space group is Cm.

[7]
Cr2RePt: relaxed, GGA-PBE.

a = 2.685 Å, b = 2.685 Å, c = 7.566 Å
α = 90.00°, β = 90.00°, γ = 90.00°
Fractional coordinates of all 4 atoms:
Cr (0.000, 0.000, 0.994)
Cr (0.000, 0.000, 0.506)
Pt (0.500, 0.500, 0.250)
Re (0.500, 0.500, 0.750)

Output
The total energy is -37.68 eV/f.u. The density of states at the Fermi level comes out at 0.98 states/eV per atom. The value obtained for the total magnetic moment is 0.00 Bohr magnetons per cell. Its space group is P4/mmm.

[8]
CrRePt2: relaxed, GGA-PBE.

a = 4.807 Å, b = 4.807 Å, c = 2.730 Å
α = 90.00°, β = 90.00°, γ = 111.35°
Fractional coordinates of all 4 atoms:
Cr (0.000, 0.500, 0.500)
Pt (0.000, 0.000, 0.000)
Pt (0.500, 0.500, 0.000)
Re (0.500, 0.000, 0.500)

Output
The energy above the lowest structure with this stoichiometry is 0.01 eV per formula unit. The density of states at the Fermi level comes out at 0.83 states/eV per atom. The value obtained for the total magnetic moment is 2.22 Bohr magnetons per cell. Its space group is Cmmm.

[9]
CrRe2Pt: relaxed, GGA-PBE.

a = 6.063 Å, b = 4.762 Å, c = 2.708 Å
α = 89.93°, β = 63.60°, γ = 120.67°
Fractional coordinates of all 4 atoms:
Cr (0.000, 0.500, 0.500)
Pt (0.500, 0.500, 0.000)
Re (0.000, 0.000, 0.000)
Re (0.500, 0.000, 0.500)

Output
The energy above the lowest structure with this stoichiometry is 0.42 eV per formula unit. The density of states at the Fermi level comes out at 0.87 states/eV per atom. The value obtained for the total magnetic moment is 0.78 Bohr magnetons per cell. Its space group is Cmmm.

[10]
CrRePt2: relaxed, GGA-PBE.

a = 2.717 Å, b = 2.717 Å, c = 7.846 Å
α = 90.00°, β = 90.00°, γ = 89.99°
Fractional coordinates of all 4 atoms:
Cr (0.500, 0.500, 0.747)
Pt (0.000, 0.000, 0.979)
Pt (0.500, 0.500, 0.260)
Re (0.000, 0.000, 0.514)

Output
The energy above the lowest structure with this stoichiometry is 0.04 eV per formula unit. The density of states at the Fermi level comes out at 1.17 states/eV per atom. The value obtained for the total magnetic moment is 0.42 Bohr magnetons per cell. Its space group is P4mm.

[11]
CrRe2Pt: relaxed, GGA-PBE.

a = 9.052 Å, b = 9.052 Å, c = 9.052 Å
α = 17.41°, β = 17.41°, γ = 17.41°
Fractional coordinates of all 4 atoms:
Cr (0.501, 0.501, 0.501)
Pt (0.753, 0.753, 0.753)
Re (0.998, 0.998, 0.998)
Re (0.248, 0.248, 0.248)

Output
The energy above the lowest structure with this stoichiometry is 0.39 eV per formula unit. The density of states at the Fermi level comes out at 0.91 states/eV per atom. The value obtained for the total magnetic moment is 0.00 Bohr magnetons per cell. Its space group is R3m.

[12]
CrRePt2: relaxed, GGA-PBE.

a = 3.246 Å, b = 3.246 Å, c = 5.612 Å
α = 90.00°, β = 90.00°, γ = 90.00°
Fractional coordinates of all 4 atoms:
Cr (0.500, 0.500, 0.749)
Pt (0.000, 0.000, 0.983)
Pt (0.500, 0.500, 0.254)
Re (0.000, 0.000, 0.514)

Output
The energy above the lowest structure with this stoichiometry is 0.68 eV per formula unit. The density of states at the Fermi level comes out at 1.13 states/eV per atom. The value obtained for the total magnetic moment is 1.09 Bohr magnetons per cell. Its space group is P4mm.

[13]
Cr2RePt: relaxed, GGA-PBE.

a = 4.094 Å, b = 2.662 Å, c = 5.131 Å
α = 74.99°, β = 90.00°, γ = 90.00°
Fractional coordinates of all 4 atoms:
Cr (0.000, 0.184, 0.006)
Cr (0.500, 0.067, 0.240)
Pt (0.000, 0.451, 0.474)
Re (0.500, 0.798, 0.780)

Output
The total energy is -37.62 eV/f.u. The density of states at the Fermi level comes out at 0.87 states/eV per atom. The value obtained for the total magnetic moment is 0.00 Bohr magnetons per cell. Its space group is Amm2.

[14]
CrRe2Pt: relaxed, GGA-PBE.

a = 4.225 Å, b = 2.706 Å, c = 5.241 Å
α = 75.03°, β = 90.00°, γ = 90.00°
Fractional coordinates of all 4 atoms:
Cr (0.000, 0.310, 0.505)
Pt (0.500, 0.703, 0.719)
Re (0.000, 0.049, 0.028)
Re (0.500, 0.439, 0.248)

Output
The energy above the lowest structure with this stoichiometry is 0.46 eV per formula unit. The density of states at the Fermi level comes out at 1.08 states/eV per atom. The value obtained for the total magnetic moment is 0.62 Bohr magnetons per cell. Its space group is Amm2.

[15]
CrRePt2: relaxed, GGA-PBE.

a = 3.983 Å, b = 2.729 Å, c = 6.054 Å
α = 63.24°, β = 90.00°, γ = 90.00°
Fractional coordinates of all 4 atoms:
Cr (0.500, 0.750, 0.750)
Pt (0.000, 0.999, 0.001)
Pt (0.000, 0.501, 0.499)
Re (0.500, 0.250, 0.250)

Output
The energy above the lowest structure with this stoichiometry is 0.08 eV per formula unit. The density of states at the Fermi level comes out at 1.08 states/eV per atom. The value obtained for the total magnetic moment is 2.27 Bohr magnetons per cell. Its space group is Pmmm.

[16]
CrRePt2: relaxed, GGA-PBE.

a = 3.829 Å, b = 3.829 Å, c = 3.996 Å
α = 90.00°, β = 90.00°, γ = 90.00°
Fractional coordinates of all 4 atoms:
Cr (0.000, 0.500, 0.500)
Pt (0.000, 0.000, 0.000)
Pt (0.500, 0.500, 0.000)
Re (0.500, 0.000, 0.500)

Output
The energy above the lowest structure with this stoichiometry is 0.00 eV per formula unit. The density of states at the Fermi level comes out at 0.76 states/eV per atom. The value obtained for the total magnetic moment is 0.73 Bohr magnetons per cell. Its space group is P4/mmm.

[17]
Cr4RePt: relaxed, GGA-PBE.

a = 4.757 Å, b = 4.757 Å, c = 4.757 Å
α = 60.00°, β = 60.00°, γ = 60.00°
Fractional coordinates of all 6 atoms:
Cr (0.124, 0.625, 0.625)
Cr (0.625, 0.625, 0.625)
Cr (0.625, 0.124, 0.625)
Cr (0.625, 0.625, 0.124)
Pt (0.250, 0.250, 0.250)
Re (0.000, 0.000, 0.000)

Output
The total energy is -57.36 eV/f.u. The density of states at the Fermi level comes out at 0.88 states/eV per atom. The value obtained for the total magnetic moment is 0.00 Bohr magnetons per cell. Its space group is F-43m.

[18]
CrRe2Pt: relaxed, GGA-PBE.

a = 2.723 Å, b = 3.867 Å, c = 5.496 Å
α = 90.00°, β = 90.00°, γ = 90.00°
Fractional coordinates of all 4 atoms:
Cr (0.000, 0.000, 0.480)
Pt (0.500, 0.500, 0.743)
Re (0.000, 0.000, 0.021)
Re (0.500, 0.500, 0.256)

Output
The energy above the lowest structure with this stoichiometry is 0.19 eV per formula unit. The density of states at the Fermi level comes out at 0.99 states/eV per atom. The value obtained for the total magnetic moment is 0.00 Bohr magnetons per cell. Its space group is Pmm2.

[19]
Cr2RePt: relaxed, GGA-PBE.

a = 8.819 Å, b = 8.819 Å, c = 8.819 Å
α = 17.65°, β = 17.65°, γ = 17.65°
Fractional coordinates of all 4 atoms:
Cr (0.002, 0.002, 0.002)
Cr (0.498, 0.498, 0.498)
Pt (0.250, 0.250, 0.250)
Re (0.750, 0.750, 0.750)

Output
The total energy is -37.28 eV/f.u. The density of states at the Fermi level comes out at 1.73 states/eV per atom. The value obtained for the total magnetic moment is 0.01 Bohr magnetons per cell. Its space group is R-3m.

[20]
Cr2RePt: relaxed, GGA-PBE.

a = 2.692 Å, b = 3.710 Å, c = 5.471 Å
α = 90.00°, β = 90.00°, γ = 90.00°
Fractional coordinates of all 4 atoms:
Cr (0.000, 0.000, 0.979)
Cr (0.000, 0.000, 0.521)
Pt (0.500, 0.500, 0.250)
Re (0.500, 0.500, 0.750)

Output
The total energy is -37.70 eV/f.u. The density of states at the Fermi level comes out at 1.14 states/eV per atom. The value obtained for the total magnetic moment is 0.00 Bohr magnetons per cell. Its space group is Pmmm.